Record 1
{"formula": "Cs2CdGeS4", "functional": "PBE-GGA", "state": "optimized geometry", "volume_a3_per_atom": 34.86, "e_form_raw_mev_per_atom": -861, "crystal_system": "orthorhombic", "total_energy_ev_per_atom": -3.830, "cell": [[-3.915, 4.879, 0.827], [-7.470, -2.014, 0.588], [-0.693, 1.358, 12.774]], "species": ["Cs", "Cs", "Cs", "Cs", "Cd", "Cd", "Ge", "Ge", "S", "S", "S", "S", "S", "S", "S", "S"], "frac_coords": [[0.179, 0.000, 0.643], [0.821, 0.000, 0.357], [0.571, 0.500, 0.857], [0.929, 0.500, 0.143], [0.750, 0.500, 0.500], [0.000, 0.000, 0.000], [0.250, 0.500, 0.500], [0.500, 0.000, 0.000], [0.329, 0.816, 0.100], [0.245, 0.184, 0.900], [0.855, 0.816, 0.900], [0.571, 0.184, 0.100], [0.421, 0.684, 0.400], [0.505, 0.316, 0.600], [0.895, 0.684, 0.600], [0.179, 0.316, 0.400]]}

Record 2
{"formula": "LuPuTlHg", "functional": "PBE-GGA", "state": "optimized geometry", "volume_a3_per_atom": 26.49, "crystal_system": "cubic", "total_energy_ev_per_atom": -5.566, "cell": [[-1.909, -4.956, -0.070], [-0.472, -2.600, -4.608], [3.228, -4.074, -1.093]], "species": ["Tl", "Lu", "Hg", "Pu"], "frac_coords": [[0.000, 0.000, 0.000], [0.250, 0.250, 0.250], [0.500, 0.500, 0.500], [0.750, 0.750, 0.750]]}

Record 3
{"formula": "PbCl2", "functional": "PBE-GGA", "state": "optimized geometry", "volume_a3_per_atom": 27.86, "e_form_raw_mev_per_atom": -1031, "crystal_system": "tetragonal", "total_energy_ev_per_atom": -3.498, "cell": [[-1.190, -4.782, -3.461], [-1.927, -1.578, 5.482], [-2.742, 4.971, -2.007]], "species": ["Pb", "Pb", "Cl", "Cl", "Cl", "Cl"], "frac_coords": [[0.250, 0.250, 0.000], [0.750, 0.750, 0.000], [0.305, 0.805, 0.110], [0.695, 0.195, 0.890], [0.195, 0.305, 0.500], [0.805, 0.695, 0.500]]}

Record 4
{"formula": "ThZnGaAg", "functional": "PBE-GGA", "state": "optimized geometry", "volume_a3_per_atom": 21.06, "crystal_system": "cubic", "total_energy_ev_per_atom": -3.856, "cell": [[-0.697, 1.285, 4.699], [-0.486, -3.471, 3.454], [3.581, -0.705, 3.301]], "species": ["Zn", "Ga", "Ag", "Th"], "frac_coords": [[0.000, 0.000, 0.000], [0.500, 0.500, 0.500], [0.250, 0.250, 0.250], [0.750, 0.750, 0.750]]}

Record 5
{"formula": "Sm2ErCu3", "functional": "PBE-GGA", "state": "optimized geometry", "volume_a3_per_atom": 21.56, "crystal_system": "tetragonal", "total_energy_ev_per_atom": -4.596, "cell": [[-0.543, 3.426, 0.451], [0.015, -0.454, 3.468], [10.447, 1.633, 0.169]], "species": ["Sm", "Sm", "Er", "Cu", "Cu", "Cu"], "frac_coords": [[0.500, 0.500, 0.830], [0.500, 0.500, 0.170], [0.500, 0.500, 0.500], [0.000, 0.000, 0.000], [0.000, 0.000, 0.655], [0.000, 0.000, 0.345]]}

Record 6
{"formula": "AcLa5SmDy2", "functional": "PBE-GGA", "state": "optimized geometry", "volume_a3_per_atom": 36.99, "crystal_system": "tetragonal", "total_energy_ev_per_atom": -4.492, "cell": [[-4.511, -0.445, 8.140], [0.378, -9.304, -0.299], [8.771, 5.027, -0.196]], "species": ["Ac", "Ac", "La", "La", "La", "La", "La", "La", "La", "La", "La", "La", "Sm", "Sm", "Dy", "Dy", "Dy", "Dy"], "frac_coords": [[0.250, 0.250, 0.500], [0.750, 0.750, 0.500], [0.934, 0.434, 0.259], [0.675, 0.175, 0.741], [0.066, 0.566, 0.741], [0.175, 0.066, 0.741], [0.566, 0.675, 0.741], [0.825, 0.934, 0.259], [0.434, 0.325, 0.259], [0.325, 0.825, 0.259], [0.500, 0.500, 0.000], [0.000, 0.000, 0.000], [0.250, 0.750, 0.500], [0.750, 0.250, 0.500], [0.113, 0.387, 0.000], [0.613, 0.113, 0.000], [0.387, 0.887, 0.000], [0.887, 0.613, 0.000]]}

Record 7
{"formula": "LiCuPt4", "functional": "PBE-GGA", "state": "optimized geometry", "volume_a3_per_atom": 16.92, "crystal_system": "cubic", "total_energy_ev_per_atom": -5.158, "cell": [[-1.533, -4.025, 2.978], [-5.091, -1.140, 0.442], [-1.917, -4.330, -2.235]], "species": ["Li", "Cu", "Pt", "Pt", "Pt", "Pt"], "frac_coords": [[0.000, 0.000, 0.000], [0.750, 0.750, 0.750], [0.875, 0.375, 0.375], [0.375, 0.375, 0.875], [0.375, 0.875, 0.375], [0.375, 0.375, 0.375]]}

Record 8
{"formula": "K3CuRe", "functional": "PBE-GGA", "state": "optimized geometry", "de_polymorph_ev_per_atom": 0.000, "volume_a3_per_atom": 45.79, "crystal_system": "cubic", "total_energy_ev_per_atom": -2.446, "cell": [[6.118, 0.000, 0.000], [0.000, 6.118, 0.000], [0.000, 0.000, 6.118]], "species": ["Re", "K", "K", "K", "Cu"], "frac_coords": [[0.500, 0.500, 0.500], [0.000, 0.500, 0.000], [0.000, 0.000, 0.500], [0.500, 0.000, 0.000], [0.000, 0.000, 0.000]]}

Record 9
{"formula": "La11Mn3C18", "functional": "PBE-GGA", "state": "optimized geometry", "volume_a3_per_atom": 16.75, "crystal_system": "trigonal", "total_energy_ev_per_atom": -8.019, "cell": [[-0.252, -8.524, 5.756], [0.265, -4.889, -9.049], [10.169, 1.401, 0.699]], "species": ["La", "La", "La", "La", "La", "La", "La", "La", "La", "La", "La", "La", "La", "La", "La", "La", "La", "La", "La", "La", "La", "La", "Mn", "Mn", "Mn", "Mn", "Mn", "Mn", "C", "C", "C", "C", "C", "C", "C", "C", "C", "C", "C", "C", "C", "C", "C", "C", "C", "C", "C", "C", "C", "C", "C", "C", "C", "C", "C", "C", "C", "C", "C", "C", "C", "C", "C", "C"], "frac_coords": [[0.164, 0.827, 0.768], [0.768, 0.164, 0.827], [0.827, 0.768, 0.164], [0.836, 0.173, 0.232], [0.232, 0.836, 0.173], [0.173, 0.232, 0.836], [0.823, 0.497, 0.423], [0.423, 0.823, 0.497], [0.497, 0.423, 0.823], [0.177, 0.503, 0.577], [0.577, 0.177, 0.503], [0.503, 0.577, 0.177], [0.841, 0.903, 0.509], [0.509, 0.841, 0.903], [0.903, 0.509, 0.841], [0.159, 0.097, 0.491], [0.491, 0.159, 0.097], [0.097, 0.491, 0.159], [0.865, 0.865, 0.865], [0.135, 0.135, 0.135], [0.638, 0.638, 0.638], [0.362, 0.362, 0.362], [0.921, 0.254, 0.574], [0.574, 0.921, 0.254], [0.254, 0.574, 0.921], [0.079, 0.746, 0.426], [0.426, 0.079, 0.746], [0.746, 0.426, 0.079], [0.338, 0.629, 0.788], [0.788, 0.338, 0.629], [0.629, 0.788, 0.338], [0.662, 0.371, 0.212], [0.212, 0.662, 0.371], [0.371, 0.212, 0.662], [0.989, 0.703, 0.561], [0.561, 0.989, 0.703], [0.703, 0.561, 0.989], [0.011, 0.297, 0.439], [0.439, 0.011, 0.297], [0.297, 0.439, 0.011], [0.965, 0.120, 0.664], [0.664, 0.965, 0.120], [0.120, 0.664, 0.965], [0.035, 0.880, 0.336], [0.336, 0.035, 0.880], [0.880, 0.336, 0.035], [0.911, 0.685, 0.657], [0.657, 0.911, 0.685], [0.685, 0.657, 0.911], [0.089, 0.315, 0.343], [0.343, 0.089, 0.315], [0.315, 0.343, 0.089], [0.670, 0.687, 0.397], [0.397, 0.670, 0.687], [0.687, 0.397, 0.670], [0.330, 0.313, 0.603], [0.603, 0.330, 0.313], [0.313, 0.603, 0.330], [0.000, 0.020, 0.729], [0.729, 0.000, 0.020], [0.020, 0.729, 0.000], [0.000, 0.980, 0.271], [0.271, 0.000, 0.980], [0.980, 0.271, 0.000]]}

Record 10
{"formula": "TaZn2Ir", "functional": "PBE-GGA", "state": "optimized geometry", "volume_a3_per_atom": 16.61, "crystal_system": "tetragonal", "total_energy_ev_per_atom": -5.477, "cell": [[-3.479, 2.456, 5.745], [0.945, -6.293, 3.263], [0.977, -1.066, 5.498]], "species": ["Zn", "Zn", "Zn", "Zn", "Ir", "Ir", "Ta", "Ta"], "frac_coords": [[0.644, 0.125, 0.250], [0.106, 0.625, 0.250], [0.375, 0.356, 0.750], [0.875, 0.894, 0.750], [0.000, 0.000, 0.000], [0.750, 0.250, 0.500], [0.500, 0.500, 0.000], [0.250, 0.750, 0.500]]}

Record 11
{"formula": "TlZnOs2O8", "functional": "PBE-GGA", "state": "optimized geometry", "volume_a3_per_atom": 17.50, "e_form_raw_mev_per_atom": -909, "crystal_system": "trigonal", "total_energy_ev_per_atom": -6.389, "cell": [[5.513, 0.000, 0.000], [-2.757, 4.775, 0.000], [0.000, 0.000, 7.978]], "species": ["Tl", "Zn", "Os", "Os", "O", "O", "O", "O", "O", "O", "O", "O"], "frac_coords": [[0.000, 0.000, 0.000], [0.000, 0.000, 0.500], [0.667, 0.333, 0.277], [0.333, 0.667, 0.723], [0.333, 0.667, 0.946], [0.328, 0.270, 0.342], [0.730, 0.058, 0.342], [0.667, 0.333, 0.054], [0.270, 0.942, 0.658], [0.672, 0.730, 0.658], [0.058, 0.328, 0.658], [0.942, 0.672, 0.342]]}

> Number 7 is which compound?

LiCuPt4